{
  "formula": "InAs3O9",
  "functional": "GGA-PBE",
  "state": "optimized geometry",
  "lattice": [[7.173, -3.486, 0.000], [7.173, 3.486, 0.000], [-6.280, 0.000, 8.071]],
  "species": ["In", "In", "As", "As", "As", "As", "As", "As", "O", "O", "O", "O", "O", "O", "O", "O", "O", "O", "O", "O", "O", "O", "O", "O", "O", "O"],
  "fractional_positions": [[0.234, 0.766, 0.500], [0.766, 0.234, 0.000], [0.034, 0.244, 0.824], [0.244, 0.034, 0.324], [0.283, 0.443, 0.676], [0.443, 0.283, 0.176], [0.681, 0.801, 0.223], [0.801, 0.681, 0.723], [0.079, 0.195, 0.203], [0.131, 0.915, 0.327], [0.182, 0.380, 0.021], [0.195, 0.079, 0.703], [0.303, 0.638, 0.673], [0.380, 0.182, 0.521], [0.388, 0.417, 0.354], [0.417, 0.388, 0.854], [0.486, 0.808, 0.264], [0.513, 0.994, 0.110], [0.552, 0.763, 0.577], [0.638, 0.303, 0.173], [0.763, 0.552, 0.077], [0.808, 0.486, 0.764], [0.869, 0.871, 0.904], [0.871, 0.869, 0.404], [0.915, 0.131, 0.827], [0.994, 0.513, 0.610]],
  "space_group": "No. 9"
}

=====

{
  "formula": "InAsPb2O6",
  "functional": "GGA-PBE",
  "state": "optimized geometry",
  "lattice": [[2.840, 1.639, 10.298], [-2.840, 1.639, 10.298], [0.000, -3.279, 10.298]],
  "species": ["In", "In", "As", "As", "Pb", "Pb", "Pb", "Pb", "O", "O", "O", "O", "O", "O", "O", "O", "O", "O", "O", "O"],
  "fractional_positions": [[0.090, 0.090, 0.090], [0.910, 0.910, 0.910], [0.000, 0.000, 0.000], [0.500, 0.500, 0.500], [0.197, 0.197, 0.197], [0.355, 0.355, 0.355], [0.645, 0.645, 0.645], [0.803, 0.803, 0.803], [0.117, 0.117, 0.658], [0.117, 0.658, 0.117], [0.211, 0.694, 0.694], [0.306, 0.306, 0.789], [0.306, 0.789, 0.306], [0.342, 0.883, 0.883], [0.658, 0.117, 0.117], [0.694, 0.211, 0.694], [0.694, 0.694, 0.211], [0.789, 0.306, 0.306], [0.883, 0.342, 0.883], [0.883, 0.883, 0.342]],
  "space_group": "No. 166"
}

=====

{
  "formula": "PmInAs2O8",
  "functional": "GGA-PBE",
  "state": "optimized geometry",
  "lattice": [[-2.516, 2.516, 5.764], [2.516, -2.516, 5.764], [2.516, 2.516, -5.764]],
  "species": ["Pm", "In", "As", "As", "O", "O", "O", "O", "O", "O", "O", "O"],
  "fractional_positions": [[0.000, 0.000, 0.000], [0.250, 0.750, 0.500], [0.500, 0.500, 0.000], [0.750, 0.250, 0.500], [0.274, 0.671, 0.105], [0.329, 0.434, 0.603], [0.421, 0.016, 0.088], [0.566, 0.169, 0.895], [0.667, 0.579, 0.595], [0.831, 0.726, 0.397], [0.928, 0.333, 0.912], [0.984, 0.072, 0.405]],
  "space_group": "No. 82"
}

=====

| no. | uncorrected formation energy (eV/atom) | calculated volume (A^3/atom) |
| --- | --- | --- |
| 1 | -1.1986 | 15.53 |
| 2 | -1.1769 | 14.38 |
| 3 | -1.8080 | 12.16 |